Record 1
{"formula": "Ti2NbIr5Ru", "functional": "PBE", "state": "optimized geometry", "total_magnetization_mub_per_atom": 0.000, "dft_energy_ev_per_atom": -8.821, "vol_a3_per_atom": 16.01, "mass_density_g_cm3": 14.4, "lattice_angstrom": [[-3.305, 5.771, -2.912], [-5.919, -1.387, 3.968], [6.568, 0.956, 3.491]], "species": ["Ti", "Ti", "Ti", "Ti", "Nb", "Nb", "Ir", "Ir", "Ir", "Ir", "Ir", "Ir", "Ir", "Ir", "Ir", "Ir", "Ru", "Ru"], "fractional_positions": [[0.114, 0.386, 0.000], [0.614, 0.114, 0.000], [0.386, 0.886, 0.000], [0.886, 0.614, 0.000], [0.250, 0.250, 0.500], [0.750, 0.750, 0.500], [0.929, 0.429, 0.258], [0.671, 0.171, 0.742], [0.071, 0.571, 0.742], [0.171, 0.071, 0.742], [0.571, 0.671, 0.742], [0.829, 0.929, 0.258], [0.429, 0.329, 0.258], [0.329, 0.829, 0.258], [0.500, 0.500, 0.000], [0.000, 0.000, 0.000], [0.250, 0.750, 0.500], [0.750, 0.250, 0.500]]}

Record 2
{"formula": "Cs2TbCu2I6", "functional": "PBE", "state": "optimized geometry", "total_magnetization_mub_per_atom": 0.000, "formation_energy_uncorrected_mev_per_atom": -879, "dft_energy_ev_per_atom": -3.045, "vol_a3_per_atom": 43.76, "mass_density_g_cm3": 4.5, "lattice_angstrom": [[-4.217, 5.163, -5.847], [-2.215, -8.149, 1.125], [-2.075, 5.607, 6.447]], "species": ["Cs", "Cs", "Tb", "Cu", "Cu", "I", "I", "I", "I", "I", "I"], "fractional_positions": [[0.734, 0.468, 0.207], [0.266, 0.532, 0.793], [0.500, 0.000, 0.500], [0.930, 0.861, 0.706], [0.070, 0.139, 0.294], [0.749, 0.498, 0.701], [0.238, 0.958, 0.234], [0.280, 0.042, 0.766], [0.762, 0.042, 0.766], [0.720, 0.958, 0.234], [0.251, 0.502, 0.299]]}

Record 3
{"formula": "Sc4Ta2C", "functional": "PBE", "state": "optimized geometry", "total_magnetization_mub_per_atom": 0.000, "dft_energy_ev_per_atom": -7.849, "vol_a3_per_atom": 20.99, "mass_density_g_cm3": 6.3, "lattice_angstrom": [[4.162, 0.000, 0.000], [0.000, 4.162, 0.000], [2.081, 2.081, 8.480]], "species": ["Sc", "Sc", "Sc", "Sc", "C", "Ta", "Ta"], "fractional_positions": [[0.865, 0.865, 0.270], [0.135, 0.135, 0.730], [0.000, 0.500, 0.000], [0.500, 0.000, 0.000], [0.000, 0.000, 0.000], [0.704, 0.704, 0.593], [0.296, 0.296, 0.407]]}

Record 4
{"formula": "MnPPt2", "functional": "PBE", "state": "optimized geometry", "total_magnetization_mub_per_atom": 1.076, "dft_energy_ev_per_atom": -6.754, "vol_a3_per_atom": 15.35, "mass_density_g_cm3": 12.9, "lattice_angstrom": [[7.770, -1.515, -0.116], [7.770, 1.515, -0.116], [7.513, 0.000, 2.496]], "species": ["Mn", "P", "Pt", "Pt"], "fractional_positions": [[0.500, 0.500, 0.500], [0.000, 0.000, 0.000], [0.743, 0.743, 0.743], [0.257, 0.257, 0.257]]}